one:
# LiHg2Pt

A PBEsol-optimized structure of LiHg2Pt (SCAN, Alexandria via LeMat-Bulk).

```
LiHg2Pt
1.0
4.601 0.000 0.000
2.301 3.985 0.000
2.301 1.328 3.757
Hg Li Pt
2 1 1
direct
0.750 0.750 0.750
0.250 0.250 0.250
0.000 0.000 0.000
0.500 0.500 0.500
```

Output
The calculated volume is 69 Å³/f.u.

***

two:
# LiHg2Pt

A PBEsol-optimized structure of LiHg2Pt (SCAN, Alexandria via LeMat-Bulk).

```
LiHg2Pt
1.0
-1.970 2.101 -0.646
-2.264 -1.114 3.281
2.888 3.708 3.253
Li Hg Pt
1 2 1
direct
0.000 0.000 0.515
0.500 0.500 0.268
0.000 0.000 0.972
0.500 0.500 0.745
```

Output
The calculated volume is 70 Å³/f.u.

***

three:
# LiHg2Pt

A PBEsol-optimized structure of LiHg2Pt (SCAN, Alexandria via LeMat-Bulk).

```
LiHg2Pt
1.0
3.778 0.000 0.000
0.000 4.244 0.000
0.000 0.000 4.244
Hg Pt Li
2 1 1
direct
0.000 0.500 0.000
0.000 0.000 0.500
0.500 0.000 0.000
0.500 0.500 0.500
```

Output
The calculated volume is 68 Å³/f.u.

***

four:
# LiHg2Pt

A PBEsol-optimized structure of LiHg2Pt (SCAN, Alexandria via LeMat-Bulk).

```
LiHg2Pt
1.0
-3.528 -1.123 1.393
1.774 -2.599 2.398
1.135 4.907 1.214
Hg Li Pt
2 1 1
direct
0.000 0.000 0.000
0.750 0.250 0.500
0.500 0.500 0.000
0.250 0.750 0.500
```

Output
The calculated volume is 68 Å³/f.u.

***

On energetic grounds, one is preferred over the next structure by 40 meV/atom.

***

one:
# LiScHg

A PBEsol-optimized structure of LiScHg (SCAN, Alexandria via LeMat-Bulk).

```
LiScHg
1.0
-4.069 -1.375 -1.694
-2.761 -2.698 2.531
-3.921 1.701 1.746
Hg Li Sc
1 1 1
direct
0.000 0.000 0.000
0.500 0.500 0.500
0.750 0.750 0.750
```

Output
The calculated volume is 70 Å³/f.u.

***

two:
# LiScHg

A PBEsol-optimized structure of LiScHg (SCAN, Alexandria via LeMat-Bulk).

```
LiScHg
1.0
4.401 0.000 0.000
2.201 3.812 0.000
2.201 1.271 3.594
Li Hg Sc
1 1 1
direct
0.250 0.250 0.250
0.500 0.500 0.500
0.000 0.000 0.000
```

Output
The calculated volume is 60 Å³/f.u.

***

On energetic grounds, two is preferred over the next structure by 195 meV/atom.

***

one:
# LiScHg2

A PBEsol-optimized structure of LiScHg2 (SCAN, Alexandria via LeMat-Bulk).

```
LiScHg2
1.0
-0.612 -2.880 -1.643
-1.272 -2.648 1.655
-8.518 0.843 -1.765
Li Hg Sc
1 2 1
direct
0.500 0.500 0.500
0.247 0.247 0.259
0.753 0.753 0.741
0.000 0.000 0.000
```

Output
The calculated volume is 84 Å³/f.u.

***

two:
# LiScHg2

A PBEsol-optimized structure of LiScHg2 (SCAN, Alexandria via LeMat-Bulk).

```
LiScHg2
1.0
4.756 0.000 0.000
-2.378 4.123 -0.041
0.000 -2.704 3.912
Li Hg Sc
1 2 1
direct
0.000 0.000 0.500
0.250 0.500 0.250
0.750 0.500 0.750
0.500 0.000 0.000
```

Output
The calculated volume is 76 Å³/f.u.

***

three:
# LiScHg2

A PBEsol-optimized structure of LiScHg2 (SCAN, Alexandria via LeMat-Bulk).

```
LiScHg2
1.0
3.294 0.000 0.000
0.000 3.294 0.000
0.000 0.000 6.993
Li Sc Hg
1 1 2
direct
0.500 0.500 0.000
0.500 0.500 0.500
0.000 0.000 0.230
0.000 0.000 0.770
```

Output
The calculated volume is 76 Å³/f.u.

***

On energetic grounds, two is preferred over the next structure by 44 meV/atom.